Record 1
# TcOs2Pt | Alexandria via LeMat-Bulk | PBEsol | relaxed
# DFT formation energy (eV per atom): 0.02
# DOS(E_F) (states/eV/cell): 3.30
# ΔE to the lowest computed polymorph (eV/atom): 0.000
data_TcOs2Pt
_chemical_formula_sum 'Tc1 Os2 Pt1'
_space_group_name_H-M_alt 'P m m 2'
_space_group_IT_number 25
_space_group_name_Hall 'P 2 -2'
_cell_length_a 2.6989
_cell_length_b 3.8675
_cell_length_c 5.4300
_cell_angle_alpha 90.00
_cell_angle_beta 90.00
_cell_angle_gamma 90.00
loop_
_atom_site_label
_atom_site_fract_x
_atom_site_fract_y
_atom_site_fract_z
Tc1 0.0000 0.0000 0.0000
Os1 0.0000 0.0000 0.4763
Os2 0.5000 0.5000 0.2426
Pt1 0.5000 0.5000 0.7424

---

Record 2
# K2P2S | Alexandria via LeMat-Bulk | PBEsol | relaxed
# Formation energy (no corrections) (meV/atom): -186
# DOS(E_F) (states/eV/cell): 6.52
data_K2P2S
_chemical_formula_sum 'K4 P4 S2'
_space_group_name_H-M_alt 'I 4/m m m'
_space_group_IT_number 139
_space_group_name_Hall '-I 4 2'
_cell_length_a 6.2586
_cell_length_b 6.2586
_cell_length_c 6.8365
_cell_angle_alpha 90.00
_cell_angle_beta 90.00
_cell_angle_gamma 90.00
loop_
_atom_site_label
_atom_site_fract_x
_atom_site_fract_y
_atom_site_fract_z
K1 0.0000 0.5000 0.2500
P1 0.0000 0.0000 0.1563
S1 0.0000 0.0000 0.5000

---

Record 3
# BeAlFe | Alexandria via LeMat-Bulk | PBEsol | relaxed
# DFT formation energy (eV per atom): 0.19
# DOS(E_F) (states/eV/cell): 10.65
# ΔE to the lowest computed polymorph (eV/atom): 0.000
data_BeAlFe
_chemical_formula_sum 'Be4 Al4 Fe4'
_space_group_name_H-M_alt 'F -4 3 m'
_space_group_IT_number 216
_space_group_name_Hall 'F -4 2 3'
_cell_length_a 5.1840
_cell_length_b 5.1840
_cell_length_c 5.1840
_cell_angle_alpha 90.00
_cell_angle_beta 90.00
_cell_angle_gamma 90.00
loop_
_atom_site_label
_atom_site_fract_x
_atom_site_fract_y
_atom_site_fract_z
Be1 0.0000 0.0000 0.0000
Al1 0.2500 0.2500 0.2500
Fe1 0.2500 0.2500 0.7500

---

Record 4
# CaMg3 | Alexandria via LeMat-Bulk | PBEsol | relaxed
# DFT formation energy (eV per atom): -0.04
# DOS(E_F) (states/eV/cell): 10.37
data_CaMg3
_chemical_formula_sum 'Ca4 Mg12'
_space_group_name_H-M_alt 'I 4/m m m'
_space_group_IT_number 139
_space_group_name_Hall '-I 4 2'
_cell_length_a 4.7223
_cell_length_b 4.7223
_cell_length_c 18.9147
_cell_angle_alpha 90.00
_cell_angle_beta 90.00
_cell_angle_gamma 90.00
loop_
_atom_site_label
_atom_site_fract_x
_atom_site_fract_y
_atom_site_fract_z
Ca1 0.0000 0.0000 0.1250
Mg1 0.0000 0.0000 0.3713
Mg2 0.0000 0.5000 0.0000
Mg3 0.0000 0.5000 0.2500

---

Record 5
# Ho5Ni2Sb | Alexandria via LeMat-Bulk | PBEsol | relaxed
# Formation energy (no corrections) (meV/atom): -555
# DOS(E_F) (states/eV/cell): 27.30
data_Ho5Ni2Sb
_chemical_formula_sum 'Ho20 Ni8 Sb4'
_space_group_name_H-M_alt 'I 4/m c m'
_space_group_IT_number 140
_space_group_name_Hall '-I 4 2c'
_cell_length_a 7.4825
_cell_length_b 7.4825
_cell_length_c 13.0442
_cell_angle_alpha 90.00
_cell_angle_beta 90.00
_cell_angle_gamma 90.00
loop_
_atom_site_label
_atom_site_fract_x
_atom_site_fract_y
_atom_site_fract_z
Ho1 0.0000 0.0000 0.0000
Ho2 0.1573 0.3427 0.1366
Ni1 0.1300 0.3700 0.5000
Sb1 0.0000 0.0000 0.2500

---

Record 6
# CoTe2As | Alexandria via LeMat-Bulk | PBEsol | relaxed
# Formation energy (no corrections) (meV/atom): -2
# DOS(E_F) (states/eV/cell): 4.85
data_CoTe2As
_chemical_formula_sum 'Co2 Te4 As2'
_space_group_name_H-M_alt 'C 1 m 1'
_space_group_IT_number 8
_space_group_name_Hall 'C -2y'
_cell_length_a 7.9612
_cell_length_b 3.5813
_cell_length_c 6.8909
_cell_angle_alpha 90.00
_cell_angle_beta 110.51
_cell_angle_gamma 90.00
loop_
_atom_site_label
_atom_site_fract_x
_atom_site_fract_y
_atom_site_fract_z
Co1 0.0000 0.0000 0.0000
Te1 0.1073 0.5000 0.2965
Te2 0.4309 0.0000 0.7042
As1 0.2908 0.0000 0.0000